# 1
! Tl3CrSn2Se6 PBE optimized geometry; values from VASP
&SYSTEM
  ibrav = 0, nat = 12, ntyp = 4
/
ATOMIC_SPECIES
Tl 204.38 Tl.upf
Cr 52.00 Cr.upf
Sn 118.71 Sn.upf
Se 78.96 Se.upf
ATOMIC_POSITIONS angstrom
Tl 0.000 0.000 0.000
Tl 3.520 2.126 0.000
Tl 3.520 -2.126 0.000
Cr 2.377 0.000 3.784
Sn 2.377 4.049 3.784
Sn 2.377 -4.049 3.784
Se 1.321 1.806 2.335
Se 0.286 0.000 5.296
Se 1.321 -1.806 2.335
Se 3.433 1.806 5.234
Se 4.468 0.000 2.273
Se 3.433 -1.806 5.234
CELL_PARAMETERS angstrom
3.520 -6.063 0.000
3.520 6.063 0.000
-2.287 0.000 7.569
! raw formation energy	-439.3	meV/atom
! density of states at the Fermi level	0.2749	states/eV per atom

---

# 2
! ZnCrSnSe4 PBE optimized geometry; values from VASP
&SYSTEM
  ibrav = 0, nat = 14, ntyp = 4
/
ATOMIC_SPECIES
Zn 65.41 Zn.upf
Cr 52.00 Cr.upf
Sn 118.71 Sn.upf
Se 78.96 Se.upf
ATOMIC_POSITIONS angstrom
Zn 0.000 1.940 1.410
Zn 3.880 1.940 4.124
Cr 1.940 1.940 -2.767
Cr 1.940 -1.940 2.767
Sn 3.880 0.000 0.000
Sn 0.000 0.000 5.533
Se 3.880 3.668 -2.777
Se 3.880 -0.213 2.777
Se 1.897 1.940 -0.236
Se 1.983 -1.940 5.298
Se 1.897 5.821 0.236
Se 1.983 1.940 5.769
Se 0.000 4.093 2.757
Se 0.000 0.213 8.310
CELL_PARAMETERS angstrom
-3.880 3.881 5.533
3.880 -3.881 5.533
3.880 3.881 -5.533
! raw formation energy	-476.3	meV/atom
! density of states at the Fermi level	0.3505	states/eV per atom

---

# 3
! SrCr5Se8 PBE optimized geometry; values from VASP
&SYSTEM
  ibrav = 0, nat = 14, ntyp = 3
/
ATOMIC_SPECIES
Sr 87.62 Sr.upf
Cr 52.00 Cr.upf
Se 78.96 Se.upf
ATOMIC_POSITIONS angstrom
Sr 0.000 0.000 0.000
Cr 1.124 0.000 4.019
Cr 1.144 0.000 7.115
Cr 7.659 0.000 4.338
Cr 14.237 0.000 1.591
Cr 14.266 0.000 4.718
Se -0.914 0.000 5.614
Se 3.534 0.000 3.152
Se 5.593 0.000 0.272
Se 5.720 0.000 6.073
Se 9.642 0.000 2.662
Se 12.234 0.000 0.069
Se 11.841 0.000 5.631
Se 16.231 0.000 3.093
CELL_PARAMETERS angstrom
9.656 -1.882 0.000
9.656 1.882 0.000
-2.529 0.000 8.399
! raw formation energy	-692.0	meV/atom
! density of states at the Fermi level	0.3118	states/eV per atom

---

# 4
! Sr2CrSe PBE optimized geometry; values from VASP
&SYSTEM
  ibrav = 0, nat = 8, ntyp = 3
/
ATOMIC_SPECIES
Sr 87.62 Sr.upf
Cr 52.00 Cr.upf
Se 78.96 Se.upf
ATOMIC_POSITIONS angstrom
Sr 6.376 1.815 -1.048
Sr 1.815 2.125 1.048
Sr -2.125 2.435 3.144
Sr 2.435 2.125 5.240
Cr 4.251 0.000 2.096
Cr 0.000 0.000 4.192
Se 0.000 0.000 0.000
Se 0.000 4.251 2.096
CELL_PARAMETERS angstrom
-4.251 4.251 4.192
4.251 -4.251 4.192
4.251 4.251 -4.192
! raw formation energy	-227.6	meV/atom
! density of states at the Fermi level	0.4417	states/eV per atom

---

# 5
! SrCrSe PBE optimized geometry; values from VASP
&SYSTEM
  ibrav = 0, nat = 3, ntyp = 3
/
ATOMIC_SPECIES
Sr 87.62 Sr.upf
Cr 52.00 Cr.upf
Se 78.96 Se.upf
ATOMIC_POSITIONS angstrom
Sr 0.000 0.000 0.000
Cr 3.492 3.492 3.492
Se 1.746 1.746 1.746
CELL_PARAMETERS angstrom
0.000 3.492 3.492
3.492 0.000 3.492
3.492 3.492 0.000
! E above lowest polymorph	264	meV/atom
! raw formation energy	-248.0	meV/atom
! density of states at the Fermi level	0.6064	states/eV per atom

---

# 6
! Sr3Cr5Se12 PBE optimized geometry; values from VASP
&SYSTEM
  ibrav = 0, nat = 80, ntyp = 3
/
ATOMIC_SPECIES
Sr 87.62 Sr.upf
Cr 52.00 Cr.upf
Se 78.96 Se.upf
ATOMIC_POSITIONS angstrom
Sr 3.998 1.999 0.000
Sr 7.996 3.998 -1.999
Sr 1.999 0.000 3.998
Sr 9.996 0.000 3.998
Sr 0.000 3.998 1.999
Sr 3.998 -1.999 7.996
Sr 3.998 9.996 0.000
Sr 7.996 3.998 5.997
Sr -1.999 7.996 3.998
Sr 5.997 7.996 3.998
Sr 0.000 3.998 9.996
Sr 3.998 5.997 7.996
Cr 0.000 0.000 0.000
Cr 3.998 3.998 -3.998
Cr 3.998 -3.998 3.998
Cr 7.996 0.000 0.000
Cr 11.995 1.999 0.000
Cr 7.996 -3.998 5.997
Cr 5.997 7.996 -3.998
Cr 5.997 0.000 3.998
Cr 3.998 5.997 0.000
Cr 7.996 3.998 1.999
Cr -3.998 3.998 3.998
Cr 0.000 7.996 0.000
Cr 0.000 0.000 7.996
Cr 3.998 3.998 3.998
Cr 0.000 3.998 5.997
Cr 3.998 1.999 7.996
Cr 1.999 7.996 3.998
Cr 1.999 0.000 11.995
Cr 0.000 11.995 1.999
Cr -3.998 5.997 7.996
Se 2.346 -0.588 0.861
Se 9.649 4.860 -4.586
Se 10.342 0.588 0.861
Se 9.649 -3.137 4.586
Se 7.409 -0.861 2.346
Se 12.582 -1.652 3.137
Se 0.861 2.346 -0.588
Se 11.133 3.411 -1.652
Se 4.860 4.586 -1.652
Se 7.135 2.346 0.588
Se -0.588 0.861 2.346
Se 4.586 -1.652 4.860
Se 7.409 7.135 -2.346
Se 4.586 1.652 3.137
Se 4.860 -4.586 9.649
Se 7.135 -2.346 7.409
Se 3.137 4.586 1.652
Se 8.858 5.651 0.588
Se 4.586 9.649 -3.137
Se 7.409 0.861 5.651
Se 2.346 7.409 -0.861
Se 9.649 3.137 3.411
Se 1.652 3.137 4.586
Se 2.346 0.588 7.135
Se 5.651 7.409 0.861
Se 6.344 4.860 3.411
Se -1.652 4.860 4.586
Se 5.651 0.588 8.858
Se 0.588 7.135 2.346
Se 3.411 -1.652 11.133
Se -0.861 2.346 7.409
Se 4.860 3.411 6.344
Se 0.861 10.342 0.588
Se 3.137 12.582 -1.652
Se 3.411 6.344 4.860
Se 0.588 0.861 10.342
Se 3.411 9.649 3.137
Se 8.584 7.135 5.651
Se 0.861 5.651 7.409
Se 3.137 3.411 9.649
Se -3.137 4.586 9.649
Se 7.135 5.651 8.584
Se -4.586 9.649 4.860
Se 0.588 8.858 5.651
Se -1.652 11.133 3.411
Se -2.346 7.409 7.135
Se -1.652 3.137 12.582
Se 5.651 8.584 7.135
CELL_PARAMETERS angstrom
-7.996 7.996 7.996
7.996 -7.996 7.996
7.996 7.996 -7.996
! raw formation energy	-808.6	meV/atom
! density of states at the Fermi level	0.5080	states/eV per atom

---

# 7
! Sr2CrSe PBE optimized geometry; values from VASP
&SYSTEM
  ibrav = 0, nat = 4, ntyp = 3
/
ATOMIC_SPECIES
Sr 87.62 Sr.upf
Cr 52.00 Cr.upf
Se 78.96 Se.upf
ATOMIC_POSITIONS angstrom
Sr 0.000 0.000 0.000
Sr 1.962 1.962 1.962
Cr 5.887 5.887 5.887
Se 3.924 3.924 3.924
CELL_PARAMETERS angstrom
0.000 3.924 3.924
3.924 0.000 3.924
3.924 3.924 0.000
! raw formation energy	159.6	meV/atom
! density of states at the Fermi level	0.5877	states/eV per atom

---

# 8
! Sr3CrSe PBE optimized geometry; values from VASP
&SYSTEM
  ibrav = 0, nat = 5, ntyp = 3
/
ATOMIC_SPECIES
Sr 87.62 Sr.upf
Cr 52.00 Cr.upf
Se 78.96 Se.upf
ATOMIC_POSITIONS angstrom
Sr 0.000 0.000 2.977
Sr 0.000 2.977 0.000
Sr 2.977 0.000 0.000
Cr 2.977 2.977 2.977
Se 0.000 0.000 0.000
CELL_PARAMETERS angstrom
5.953 0.000 0.000
0.000 5.953 0.000
0.000 0.000 5.953
! E above lowest polymorph	0	meV/atom
! raw formation energy	-251.4	meV/atom
! density of states at the Fermi level	0.9068	states/eV per atom

---

# 9
! Sr2CrSe PBE optimized geometry; values from VASP
&SYSTEM
  ibrav = 0, nat = 4, ntyp = 3
/
ATOMIC_SPECIES
Sr 87.62 Sr.upf
Cr 52.00 Cr.upf
Se 78.96 Se.upf
ATOMIC_POSITIONS angstrom
Sr 1.941 1.942 0.000
Sr 1.941 -1.942 0.000
Cr -0.004 0.000 2.000
Se 3.877 0.000 2.000
CELL_PARAMETERS angstrom
3.881 -3.885 0.000
3.881 3.885 0.000
-0.007 0.000 3.999
! raw formation energy	-343.9	meV/atom
! density of states at the Fermi level	0.6121	states/eV per atom

---

# 10
! Sr4CrSe PBE optimized geometry; values from VASP
&SYSTEM
  ibrav = 0, nat = 6, ntyp = 3
/
ATOMIC_SPECIES
Sr 87.62 Sr.upf
Cr 52.00 Cr.upf
Se 78.96 Se.upf
ATOMIC_POSITIONS angstrom
Sr 1.259 1.259 1.259
Sr 3.772 3.772 1.259
Sr 3.772 1.259 3.772
Sr 1.259 3.772 3.772
Cr 7.547 7.547 7.547
Se 5.032 5.032 5.032
CELL_PARAMETERS angstrom
0.000 5.032 5.032
5.032 0.000 5.032
5.032 5.032 0.000
! raw formation energy	554.0	meV/atom
! density of states at the Fermi level	1.1043	states/eV per atom